No. 1
VASP calculation (SCAN) on a crystal of TaTlN2O relaxed with PBEsol.

Unit cell a=4.111 b=4.111 c=4.044 alpha=90.00 beta=90.00 gamma=90.00
Fractional positions:
Ta1 0.000 0.000 0.000
Tl1 0.500 0.500 0.500
N1 0.000 0.500 0.500
N2 0.500 0.000 0.500
O1 0.500 0.500 0.000

Properties
For the uncorrected formation energy, the calculation gives 1.79 eV per atom. The total energy is -30.96 eV per atom. For the density of states at the Fermi level, the calculation gives 2.61 states/eV/f.u. Its space group is P4/mmm, No. 123.



No. 2
VASP calculation (SCAN) on a crystal of Mg2InPb2 relaxed with PBEsol.

Unit cell a=8.868 b=8.868 c=3.311 alpha=90.00 beta=90.00 gamma=90.00
Fractional positions:
Mg1 0.137 0.363 0.000
Mg2 0.363 0.863 0.000
Mg3 0.637 0.137 0.000
Mg4 0.863 0.637 0.000
In1 0.000 0.000 0.500
In2 0.500 0.500 0.500
Pb1 0.160 0.660 0.500
Pb2 0.340 0.160 0.500
Pb3 0.660 0.840 0.500
Pb4 0.840 0.340 0.500

Properties
The total energy is -39.07 eV per atom. The formation energy comes out at -0.09 eV/atom. For the density of states at the Fermi level, the calculation gives 1.58 states/eV/f.u. Its space group is P4/mbm, No. 127.



No. 3
VASP calculation (SCAN) on a crystal of Mo2C relaxed with PBEsol.

Unit cell a=5.090 b=5.090 c=5.090 alpha=33.82 beta=33.82 gamma=33.82
Fractional positions:
Mo1 0.248 0.248 0.248
Mo2 0.752 0.752 0.752
C1 0.000 0.000 0.000

Properties
The total energy is -26.65 eV per atom. The formation energy comes out at -0.02 eV/atom. For the density of states at the Fermi level, the calculation gives 1.56 states/eV/f.u. Its space group is R-3m, No. 166.



No. 4
VASP calculation (SCAN) on a crystal of Li2CePb relaxed with PBEsol.

Unit cell a=4.889 b=4.889 c=4.889 alpha=60.00 beta=60.00 gamma=60.00
Fractional positions:
Li1 0.250 0.250 0.250
Li2 0.750 0.750 0.750
Ce1 0.000 0.000 0.000
Pb1 0.500 0.500 0.500

Properties
The total energy is -31.68 eV per atom. The formation energy comes out at -0.40 eV/atom. For the density of states at the Fermi level, the calculation gives 5.98 states/eV/f.u. Its space group is Fm-3m, No. 225.



No. 5
VASP calculation (SCAN) on a crystal of KScOs relaxed with PBEsol.

Unit cell a=4.582 b=4.582 c=4.582 alpha=60.00 beta=60.00 gamma=60.00
Fractional positions:
K1 0.000 0.000 0.000
Sc1 0.250 0.250 0.250
Os1 0.500 0.500 0.500

Properties
The total energy is -30.13 eV per atom. The formation energy comes out at 1.35 eV/atom. For the density of states at the Fermi level, the calculation gives 1.93 states/eV/f.u. Its space group is F-43m, No. 216.



No. 6
VASP calculation (SCAN) on a crystal of Rb2WCl6 relaxed with PBEsol.

Unit cell a=6.997 b=6.997 c=6.997 alpha=60.00 beta=60.00 gamma=60.00
Fractional positions:
Rb1 0.250 0.250 0.250
Rb2 0.750 0.750 0.750
W1 0.000 0.000 0.000
Cl1 0.239 0.239 0.761
Cl2 0.239 0.761 0.239
Cl3 0.239 0.761 0.761
Cl4 0.761 0.239 0.239
Cl5 0.761 0.239 0.761
Cl6 0.761 0.761 0.239

Properties
For the uncorrected formation energy, the calculation gives -1.55 eV per atom. The total energy is -19.22 eV per atom. For the density of states at the Fermi level, the calculation gives 6.60 states/eV/f.u. Its space group is Fm-3m, No. 225.



No. 7
VASP calculation (SCAN) on a crystal of Ga3RuC relaxed with PBEsol.

Unit cell a=4.093 b=4.093 c=4.093 alpha=90.00 beta=90.00 gamma=90.00
Fractional positions:
Ga1 0.000 0.000 0.500
Ga2 0.000 0.500 0.000
Ga3 0.500 0.000 0.000
Ru1 0.500 0.500 0.500
C1 0.000 0.000 0.000

Properties
The total energy is -17.84 eV per atom. The formation energy comes out at 0.96 eV/atom. For the density of states at the Fermi level, the calculation gives 1.96 states/eV/f.u. Its space group is Pm-3m, No. 221.



No. 8
VASP calculation (SCAN) on a crystal of RbCa2AuF relaxed with PBEsol.

Unit cell a=4.842 b=4.842 c=5.318 alpha=90.00 beta=90.00 gamma=90.00
Fractional positions:
Rb1 0.000 0.000 0.000
Ca1 0.000 0.500 0.500
Ca2 0.500 0.000 0.500
Au1 0.500 0.500 0.000
F1 0.000 0.000 0.500

Properties
For the uncorrected formation energy, the calculation gives -1.23 eV per atom. The total energy is -23.79 eV per atom. For the density of states at the Fermi level, the calculation gives 2.93 states/eV/f.u. Its space group is P4/mmm, No. 123.



No. 9
VASP calculation (SCAN) on a crystal of CrTcSn2N relaxed with PBEsol.

Unit cell a=4.923 b=4.923 c=4.214 alpha=90.00 beta=90.00 gamma=90.00
Fractional positions:
Cr1 0.000 0.000 0.000
Tc1 0.000 0.000 0.500
Sn1 0.000 0.500 0.000
Sn2 0.500 0.000 0.000
N1 0.500 0.500 0.500

Properties
For the uncorrected formation energy, the calculation gives 1.61 eV per atom. The total energy is -25.30 eV per atom. For the density of states at the Fermi level, the calculation gives 2.78 states/eV/f.u. Its space group is P4/mmm, No. 123.



No. 10
VASP calculation (SCAN) on a crystal of YAu2Cl relaxed with PBEsol.

Unit cell a=3.437 b=3.437 c=7.409 alpha=90.00 beta=90.00 gamma=90.00
Fractional positions:
Y1 0.000 0.000 0.000
Au1 0.000 0.000 0.410
Au2 0.500 0.500 0.222
Cl1 0.500 0.500 0.774

Properties
For the uncorrected formation energy, the calculation gives -0.99 eV per atom. The total energy is -44.52 eV per atom. For the density of states at the Fermi level, the calculation gives 0.66 states/eV/f.u. Its space group is P4mm, No. 99.



No. 11
VASP calculation (SCAN) on a crystal of YCr2Fe relaxed with PBEsol.

Unit cell a=8.778 b=8.778 c=8.778 alpha=18.20 beta=18.20 gamma=18.20
Fractional positions:
Y1 0.000 0.000 0.000
Cr1 0.235 0.235 0.235
Cr2 0.765 0.765 0.765
Fe1 0.500 0.500 0.500

Properties
The total energy is -19.84 eV per atom. The formation energy comes out at 0.84 eV/atom. For the density of states at the Fermi level, the calculation gives 4.52 states/eV/f.u. The relative energy among the computed polymorphs is 0.438 eV per atom. Its space group is R-3m, No. 166.



No. 12
VASP calculation (SCAN) on a crystal of BeAsPdSe2 relaxed with PBEsol.

Unit cell a=4.516 b=4.516 c=4.278 alpha=90.00 beta=90.00 gamma=90.00
Fractional positions:
Be1 0.000 0.000 0.000
As1 0.000 0.000 0.500
Pd1 0.500 0.500 0.500
Se1 0.000 0.500 0.000
Se2 0.500 0.000 0.000

Properties
For the uncorrected formation energy, the calculation gives 0.50 eV per atom. The total energy is -19.00 eV per atom. For the density of states at the Fermi level, the calculation gives 3.21 states/eV/f.u. Its space group is P4/mmm, No. 123.



No. 13
VASP calculation (SCAN) on a crystal of Tc2HgW relaxed with PBEsol.

Unit cell a=2.757 b=2.757 c=9.054 alpha=90.00 beta=90.00 gamma=111.21
Fractional positions:
Tc1 0.000 0.000 0.228
Tc2 0.000 0.000 0.772
Hg1 0.500 0.500 0.500
W1 0.500 0.500 0.000

Properties
The total energy is -51.63 eV per atom. The formation energy comes out at 0.36 eV/atom. For the density of states at the Fermi level, the calculation gives 3.47 states/eV/f.u. Its space group is Cmmm, No. 65.



No. 14
VASP calculation (SCAN) on a crystal of GeSb2TeW relaxed with PBEsol.

Unit cell a=5.193 b=5.193 c=5.224 alpha=90.00 beta=90.00 gamma=90.00
Fractional positions:
Ge1 0.000 0.000 0.000
Sb1 0.000 0.500 0.500
Sb2 0.500 0.000 0.500
Te1 0.500 0.500 0.000
W1 0.500 0.500 0.500

Properties
For the uncorrected formation energy, the calculation gives 0.95 eV per atom. The total energy is -39.16 eV per atom. For the density of states at the Fermi level, the calculation gives 3.62 states/eV/f.u. Its space group is P4/mmm, No. 123.



No. 15
VASP calculation (SCAN) on a crystal of SbAsPt2 relaxed with PBEsol.

Unit cell a=4.663 b=4.663 c=4.663 alpha=121.43 beta=121.43 gamma=87.54
Fractional positions:
Sb1 0.000 0.000 0.000
As1 0.500 0.500 0.000
Pt1 0.250 0.750 0.500
Pt2 0.750 0.250 0.500

Properties
For the uncorrected formation energy, the calculation gives 0.01 eV per atom. The total energy is -49.45 eV per atom. For the density of states at the Fermi level, the calculation gives 1.54 states/eV/f.u. The relative energy among the computed polymorphs is 0.489 eV per atom. Its space group is I4/mmm, No. 139.



No. 16
VASP calculation (SCAN) on a crystal of YVFe11H relaxed with PBEsol.

Unit cell a=6.282 b=6.282 c=6.282 alpha=136.68 beta=97.93 gamma=97.73
Fractional positions:
Y1 0.000 0.000 0.000
V1 0.624 0.624 0.000
Fe1 0.218 0.495 0.723
Fe2 0.223 0.723 0.500
Fe3 0.354 0.995 0.359
Fe4 0.357 0.357 0.000
Fe5 0.498 0.497 0.501
Fe6 0.498 0.996 0.001
Fe7 0.636 0.995 0.641
Fe8 0.766 0.266 0.500
Fe9 0.772 0.495 0.277
Fe10 0.996 0.497 0.999
Fe11 0.996 0.996 0.499
H1 0.997 0.497 0.500

Properties
The total energy is -17.79 eV per atom. For the density of states at the Fermi level, the calculation gives 10.05 states/eV/f.u. Its space group is Imm2, No. 44.



No. 17
VASP calculation (SCAN) on a crystal of InSnTeI2 relaxed with PBEsol.

Unit cell a=5.955 b=5.955 c=5.647 alpha=90.00 beta=90.00 gamma=90.00
Fractional positions:
In1 0.000 0.000 0.000
Sn1 0.500 0.500 0.500
Te1 0.500 0.500 0.000
I1 0.000 0.500 0.500
I2 0.500 0.000 0.500

Properties
For the uncorrected formation energy, the calculation gives -0.08 eV per atom. The total energy is -36.09 eV per atom. For the density of states at the Fermi level, the calculation gives 3.79 states/eV/f.u. Its space group is P4/mmm, No. 123.



No. 18
VASP calculation (SCAN) on a crystal of Sc4Tl5 relaxed with PBEsol.

Unit cell a=8.775 b=8.775 c=6.188 alpha=90.00 beta=90.00 gamma=120.00
Fractional positions:
Sc1 0.000 0.000 0.000
Sc2 0.000 0.000 0.500
Sc3 0.000 0.369 0.250
Sc4 0.000 0.631 0.750
Sc5 0.369 0.000 0.250
Sc6 0.369 0.369 0.750
Sc7 0.631 0.000 0.750
Sc8 0.631 0.631 0.250
Tl1 0.000 0.295 0.750
Tl2 0.000 0.705 0.250
Tl3 0.295 0.000 0.750
Tl4 0.295 0.295 0.250
Tl5 0.333 0.667 0.000
Tl6 0.333 0.667 0.500
Tl7 0.667 0.333 0.000
Tl8 0.667 0.333 0.500
Tl9 0.705 0.000 0.250
Tl10 0.705 0.705 0.750

Properties
The total energy is -46.90 eV per atom. The formation energy comes out at -0.37 eV/atom. For the density of states at the Fermi level, the calculation gives 5.60 states/eV/f.u. The relative energy among the computed polymorphs is 0.000 eV per atom. Its space group is P6_3/mcm, No. 193.



No. 19
VASP calculation (SCAN) on a crystal of LiCa2W relaxed with PBEsol.

Unit cell a=2.978 b=2.978 c=10.646 alpha=90.00 beta=90.00 gamma=90.26
Fractional positions:
Li1 0.000 0.000 0.000
Ca1 0.500 0.500 0.279
Ca2 0.500 0.500 0.721
W1 0.000 0.000 0.500

Properties
The total energy is -22.14 eV per atom. The formation energy comes out at 0.72 eV/atom. For the density of states at the Fermi level, the calculation gives 2.95 states/eV/f.u. The relative energy among the computed polymorphs is 0.000 eV per atom. Its space group is Cmmm, No. 65.



No. 20
VASP calculation (SCAN) on a crystal of VH10SNO9 relaxed with PBEsol.

Unit cell a=6.165 b=9.717 c=6.631 alpha=90.00 beta=108.72 gamma=90.00
Fractional positions:
V1 0.116 0.000 0.397
V2 0.884 0.500 0.603
H1 0.041 0.768 0.664
H2 0.062 0.648 0.240
H3 0.105 0.663 0.000
H4 0.189 0.267 0.259
H5 0.263 0.548 0.184
H6 0.273 0.222 0.695
H7 0.305 0.722 0.220
H8 0.309 0.088 0.832
H9 0.370 0.347 0.060
H10 0.466 0.859 0.704
H11 0.534 0.359 0.296
H12 0.630 0.847 0.940
H13 0.691 0.588 0.168
H14 0.695 0.222 0.780
H15 0.727 0.722 0.305
H16 0.737 0.048 0.816
H17 0.811 0.767 0.741
H18 0.895 0.163 0.000
H19 0.938 0.148 0.760
H20 0.959 0.268 0.336
S1 0.428 0.504 0.725
S2 0.572 0.004 0.275
N1 0.185 0.645 0.162
N2 0.815 0.145 0.838
O1 0.033 0.932 0.163
O2 0.058 0.208 0.276
O3 0.187 0.866 0.564
O4 0.189 0.534 0.579
O5 0.207 0.129 0.697
O6 0.369 0.367 0.205
O7 0.430 0.047 0.412
O8 0.453 0.356 0.774
O9 0.483 0.588 0.917
O10 0.517 0.088 0.083
O11 0.547 0.856 0.226
O12 0.570 0.547 0.588
O13 0.631 0.867 0.795
O14 0.793 0.629 0.303
O15 0.811 0.034 0.421
O16 0.813 0.366 0.436
O17 0.942 0.708 0.724
O18 0.967 0.432 0.837

Properties
The total energy is -7.06 eV per atom. For the density of states at the Fermi level, the calculation gives 0.00 states/eV/f.u. Its space group is P2_1, No. 4.



No. 21
VASP calculation (SCAN) on a crystal of ScNb2AgPt relaxed with PBEsol.

Unit cell a=4.861 b=4.861 c=4.936 alpha=90.00 beta=90.00 gamma=90.00
Fractional positions:
Sc1 0.000 0.000 0.000
Nb1 0.000 0.500 0.500
Nb2 0.500 0.000 0.500
Ag1 0.500 0.500 0.000
Pt1 0.000 0.000 0.500

Properties
The total energy is -35.83 eV per atom. The formation energy comes out at 0.58 eV/atom. For the density of states at the Fermi level, the calculation gives 5.81 states/eV/f.u. Its space group is P4/mmm, No. 123.



No. 22
VASP calculation (SCAN) on a crystal of ScAgMo relaxed with PBEsol.

Unit cell a=6.964 b=6.960 c=2.771 alpha=78.60 beta=78.44 gamma=22.96
Fractional positions:
Sc1 0.000 0.000 0.000
Ag1 0.326 0.326 0.674
Mo1 0.665 0.665 0.335

Properties
The total energy is -26.65 eV per atom. The formation energy comes out at 0.18 eV/atom. For the density of states at the Fermi level, the calculation gives 1.76 states/eV/f.u. Its space group is Fmm2, No. 42.



No. 23
VASP calculation (SCAN) on a crystal of Zr2AlSe relaxed with PBEsol.

Unit cell a=3.807 b=3.991 c=5.001 alpha=90.00 beta=90.00 gamma=90.00
Fractional positions:
Zr1 0.000 0.000 0.000
Zr2 0.000 0.500 0.500
Al1 0.500 0.000 0.500
Se1 0.500 0.500 0.000

Properties
For the uncorrected formation energy, the calculation gives -0.51 eV per atom. The total energy is -22.82 eV per atom. For the density of states at the Fermi level, the calculation gives 2.21 states/eV/f.u. The relative energy among the computed polymorphs is 0.237 eV per atom. Its space group is Pmmm, No. 47.



No. 24
VASP calculation (SCAN) on a crystal of Mg2ScTa relaxed with PBEsol.

Unit cell a=2.806 b=5.186 c=5.552 alpha=90.00 beta=96.28 gamma=90.00
Fractional positions:
Mg1 0.246 0.000 0.239
Mg2 0.754 0.000 0.761
Sc1 0.000 0.500 0.500
Ta1 0.500 0.500 0.000

Properties
The total energy is -22.42 eV per atom. The formation energy comes out at 0.27 eV/atom. For the density of states at the Fermi level, the calculation gives 4.01 states/eV/f.u. The relative energy among the computed polymorphs is 0.007 eV per atom. Its space group is P2/m, No. 10.



No. 25
VASP calculation (SCAN) on a crystal of NbCd2Pt relaxed with PBEsol.

Unit cell a=4.627 b=4.627 c=4.627 alpha=60.00 beta=60.00 gamma=60.00
Fractional positions:
Nb1 0.000 0.000 0.000
Cd1 0.250 0.250 0.250
Cd2 0.750 0.750 0.750
Pt1 0.500 0.500 0.500

Properties
The total energy is -40.95 eV per atom. The formation energy comes out at 0.08 eV/atom. For the density of states at the Fermi level, the calculation gives 3.53 states/eV/f.u. Its space group is Fm-3m, No. 225.



No. 26
VASP calculation (SCAN) on a crystal of Sr2BiSb relaxed with PBEsol.

Unit cell a=7.201 b=7.201 c=7.201 alpha=103.92 beta=103.92 gamma=121.25
Fractional positions:
Sr1 0.117 0.125 0.492
Sr2 0.375 0.883 0.008
Sr3 0.633 0.625 0.508
Sr4 0.875 0.367 0.992
Bi1 0.250 0.750 0.500
Bi2 0.500 0.500 0.000
Sb1 0.000 0.000 0.000
Sb2 0.750 0.250 0.500

Properties
For the uncorrected formation energy, the calculation gives -0.71 eV per atom. The total energy is -40.80 eV per atom. For the density of states at the Fermi level, the calculation gives 2.65 states/eV/f.u. Its space group is I-42d, No. 122.